The following is a DFT calculation (PBE) of TaNbRh4 after structural relaxation.

The structure belongs to space group P-1 (No. 2); the cell edges are 4.3975, 5.2029 and 5.2384 Å and the angles 64.56°, 65.19° and 65.08°. Symmetry generates all atoms from Ta at (0.0000, 0.0000, 0.0000), Nb at (0.0000, 0.5000, 0.5000), Rh at (0.3310, 0.5362, 0.8014) and Rh at (0.3355, 0.0302, 0.2985).

For the electronic total energy, the calculation gives -53.14 eV per cell. The polymorph energy (0 for the lowest one) comes out at 0.0 meV per atom. The calculation puts the density of states at the Fermi level at 6.0 states/eV/f.u. The calculation puts the energy of formation at -302 meV/atom.


The following is a DFT calculation (PBE) of CsPaSeS after structural relaxation.

The structure belongs to space group R3m (No. 160, hexagonal axes); the cell edges are 4.1139, 4.1139 and 25.6218 Å and the angles 90.00°, 90.00° and 120.00°. Symmetry generates all atoms from Cs at (0.0000, 0.0000, 0.0000), Pa at (0.0000, 0.0000, 0.1652), Se at (0.0000, 0.0000, 0.5654) and S at (0.0000, 0.0000, 0.7726).

For the electronic total energy, the calculation gives -69.79 eV per cell. The calculation puts the density of states at the Fermi level at 5.2 states/eV/f.u.


The following is a DFT calculation (PBE) of Th5FePd2 after structural relaxation.

The structure belongs to space group Pbam (No. 55); the cell edges are 8.9516, 11.9588 and 3.9298 Å and the angles 90.00°, 90.00° and 90.00°. Symmetry generates all atoms from Th at (0.0000, 0.0000, 0.0000), Th at (0.1430, 0.2959, 0.0000), Th at (0.1753, 0.5742, 0.5000), Fe at (0.0000, 0.5000, 0.0000) and Pd at (0.0795, 0.8272, 0.5000).

For the electronic total energy, the calculation gives -118.56 eV per cell. The calculation puts the density of states at the Fermi level at 8.4 states/eV/f.u. The calculation puts the energy of formation at -417 meV/atom.


The following is a DFT calculation (PBE) of LaHfC3 after structural relaxation.

The structure belongs to space group Pm-3m (No. 221); the cell edges are 4.3009, 4.3009 and 4.3009 Å and the angles 90.00°, 90.00° and 90.00°. Symmetry generates all atoms from La at (0.0000, 0.0000, 0.0000), Hf at (0.5000, 0.5000, 0.5000) and C at (0.0000, 0.5000, 0.5000).

For the electronic total energy, the calculation gives -38.93 eV per cell. The polymorph energy (0 for the lowest one) comes out at 0.0 meV per atom. The calculation puts the density of states at the Fermi level at 2.3 states/eV/f.u. The calculation puts the energy of formation at 724 meV/atom.


The following is a DFT calculation (PBE) of Tm2ThHg after structural relaxation.

The structure belongs to space group P4/mmm (No. 123); the cell edges are 4.8299, 4.8299 and 4.7742 Å and the angles 90.00°, 90.00° and 90.00°. Symmetry generates all atoms from Tm at (0.0000, 0.5000, 0.0000), Th at (0.0000, 0.0000, 0.5000) and Hg at (0.5000, 0.5000, 0.5000).

For the electronic total energy, the calculation gives -17.02 eV per cell. The polymorph energy (0 for the lowest one) comes out at 163.3 meV per atom. The calculation puts the density of states at the Fermi level at 6.0 states/eV/f.u. The calculation puts the energy of formation at -88 meV/atom.


The following is a DFT calculation (PBE) of ScRe2Br after structural relaxation.

The structure belongs to space group P4/mmm (No. 123); the cell edges are 3.6405, 3.6405 and 5.5458 Å and the angles 90.00°, 90.00° and 90.00°. Symmetry generates all atoms from Sc at (0.0000, 0.0000, 0.0000), Re at (0.0000, 0.5000, 0.5000) and Br at (0.5000, 0.5000, 0.0000).

For the electronic total energy, the calculation gives -30.72 eV per cell. The polymorph energy (0 for the lowest one) comes out at 622.6 meV per atom. The calculation puts the density of states at the Fermi level at 3.2 states/eV/f.u.


The following is a DFT calculation (PBE) of MnMoAs after structural relaxation.

The structure belongs to space group F-43m (No. 216); the cell edges are 5.8412, 5.8412 and 5.8412 Å and the angles 90.00°, 90.00° and 90.00°. Symmetry generates all atoms from Mn at (0.0000, 0.0000, 0.0000), Mo at (0.0000, 0.0000, 0.5000) and As at (0.2500, 0.2500, 0.2500).

For the electronic total energy, the calculation gives -96.55 eV per cell. The calculation puts the density of states at the Fermi level at 2.4 states/eV/f.u. The calculation puts the energy of formation at 171 meV/atom.


The following is a DFT calculation (PBE) of TbZnNi3 after structural relaxation.

The structure belongs to space group Imma (No. 74); the cell edges are 4.9153, 6.7478 and 9.1534 Å and the angles 90.00°, 90.00° and 90.00°. Symmetry generates all atoms from Tb at (0.0000, 0.0000, 0.0000), Zn at (0.0000, 0.2500, 0.4736), Ni at (0.0000, 0.0633, 0.6967) and Ni at (0.2500, 0.2500, 0.2500).

For the electronic total energy, the calculation gives -97.49 eV per cell. The polymorph energy (0 for the lowest one) comes out at 0.0 meV per atom. The calculation puts the density of states at the Fermi level at 4.5 states/eV/f.u. The calculation puts the energy of formation at -225 meV/atom.


The following is a DFT calculation (PBE) of Tl2GaSbO4 after structural relaxation.

The structure belongs to space group Pmn2_1 (No. 31); the cell edges are 7.5151, 8.1896 and 5.2593 Å and the angles 90.00°, 90.00° and 90.00°. Symmetry generates all atoms from Tl at (0.2213, 0.1832, 0.0000), Ga at (0.0000, 0.4161, 0.4880), Sb at (0.0000, 0.6749, 0.0147), O at (0.0000, 0.4418, 0.1257), O at (0.0000, 0.6313, 0.6357) and O at (0.2100, 0.3098, 0.5631).

For the electronic total energy, the calculation gives -82.72 eV per cell.


The following is a DFT calculation (PBE) of K2SrTlIn after structural relaxation.

The structure belongs to space group Amm2 (No. 38); the cell edges are 6.5742, 3.8369 and 16.5607 Å and the angles 90.00°, 90.00° and 90.00°. Symmetry generates all atoms from K at (0.0000, 0.0000, 0.0000), K at (0.0000, 0.0000, 0.2820), Sr at (0.5000, 0.0000, 0.1442), Tl at (0.5000, 0.0000, 0.4691) and In at (0.5000, 0.0000, 0.8199).

For the electronic total energy, the calculation gives -18.80 eV per cell. The polymorph energy (0 for the lowest one) comes out at 56.0 meV per atom. The calculation puts the density of states at the Fermi level at 2.8 states/eV/f.u. The calculation puts the energy of formation at -84 meV/atom.


The following is a DFT calculation (PBE) of PmHoSc after structural relaxation.

The structure belongs to space group P-6m2 (No. 187); the cell edges are 5.4677, 5.4677 and 3.4238 Å and the angles 90.00°, 90.00° and 120.00°. Symmetry generates all atoms from Pm at (0.0000, 0.0000, 0.0000), Ho at (0.6667, 0.3333, 0.5000) and Sc at (0.3333, 0.6667, 0.0000).

For the electronic total energy, the calculation gives -15.42 eV per cell. The polymorph energy (0 for the lowest one) comes out at 29.2 meV per atom. The calculation puts the density of states at the Fermi level at 5.2 states/eV/f.u. The calculation puts the energy of formation at 79 meV/atom.


The following is a DFT calculation (PBE) of TiNiHg2 after structural relaxation.

The structure belongs to space group I-42d (No. 122); the cell edges are 7.4691, 7.4691 and 5.5869 Å and the angles 90.00°, 90.00° and 90.00°. Symmetry generates all atoms from Ti at (0.0000, 0.0000, 0.0000), Ni at (0.0000, 0.0000, 0.5000) and Hg at (0.2198, 0.2500, 0.6250).

For the electronic total energy, the calculation gives -50.78 eV per cell. The calculation puts the density of states at the Fermi level at 3.9 states/eV/f.u. The calculation puts the energy of formation at 396 meV/atom.


- electronic total energy of number 4 (LaHfC3)?
  -38.93 eV per cell


- Which of these has the highest electronic total energy?
  PmHoSc